Here is Ac8SiPb3 after structural relaxation from Alexandria. Energies are from PBE.

a = 7.8996 Å, b = 7.8996 Å, c = 9.7037 Å
α = 114.02°, β = 114.02°, γ = 90.00°
Last column: nearest neighbours and their distance in Å.
Atoms (fractional coordinates):
Ac  0.3621  0.3621  0.2402  1 Si 3.31, 3 Pb 3.45-3.47
Ac  0.3621  0.8780  0.2402  1 Si 3.31, 3 Pb 3.45-3.47
Ac  0.1220  0.6379  0.7598  1 Si 3.31, 3 Pb 3.45-3.47
Ac  0.1220  0.1220  0.7598  1 Si 3.31, 3 Pb 3.45-3.47
Ac  0.8780  0.8780  0.2402  1 Si 3.31, 3 Pb 3.45-3.47
Ac  0.8780  0.3621  0.2402  1 Si 3.31, 3 Pb 3.45-3.47
Ac  0.6379  0.1220  0.7598  1 Si 3.31, 3 Pb 3.45-3.47
Ac  0.6379  0.6379  0.7598  1 Si 3.31, 3 Pb 3.45-3.47
Si  0.0000  0.0000  0.0000  8 Ac 3.31
Pb  0.7500  0.2500  0.5000  8 Ac 3.47
Pb  0.5000  0.5000  0.0000  8 Ac 3.45
Pb  0.2500  0.7500  0.5000  8 Ac 3.47

Summary:
- energy relative to the elements, uncorrected (eV per formula unit) = -2.97
- space-group type = I4/mmm (139)
- size of the total moment (μB/cell) = 0.0

Here is Ac4Si4Pb after structural relaxation from Alexandria. Energies are from PBE.

a = 6.4367 Å, b = 9.3497 Å, c = 9.3497 Å
α = 90.00°, β = 90.00°, γ = 90.00°
Last column: nearest neighbours and their distance in Å.
Atoms (fractional coordinates):
Ac  0.3582  0.3037  0.9203  4 Si 3.08-3.36
Ac  0.8582  0.5797  0.8037  4 Si 3.08-3.36
Ac  0.3582  0.6963  0.0797  4 Si 3.08-3.36
Ac  0.1418  0.1963  0.5797  4 Si 3.08-3.36
Ac  0.6418  0.9203  0.6963  4 Si 3.08-3.36
Ac  0.1418  0.8037  0.4203  4 Si 3.08-3.36
Ac  0.8582  0.4203  0.1963  4 Si 3.08-3.36
Ac  0.6418  0.0797  0.3037  4 Si 3.08-3.36
Si  0.6516  0.7550  0.3588  1 Si 2.40
Si  0.6516  0.2450  0.6412  1 Si 2.40
Si  0.1516  0.8588  0.7450  1 Si 2.40
Si  0.8484  0.2550  0.8588  1 Si 2.40
Si  0.8484  0.7450  0.1412  1 Si 2.40
Si  0.3484  0.3588  0.2450  1 Si 2.40
Si  0.3484  0.6412  0.7550  1 Si 2.40
Si  0.1516  0.1412  0.2550  1 Si 2.40
Pb  0.0000  0.0000  0.0000  4 Si 2.89
Pb  0.5000  0.5000  0.5000  4 Si 2.89

Summary:
- energy relative to the elements, uncorrected (eV per formula unit) = -2.71
- space-group type = P4_2/n (86)
- size of the total moment (μB/cell) = 0.0

Here is Ac4SiPb2 after structural relaxation from Alexandria. Energies are from PBE.

a = 4.9992 Å, b = 9.5902 Å, c = 8.6956 Å
α = 136.82°, β = 106.71°, γ = 90.00°
Last column: nearest neighbours and their distance in Å.
Atoms (fractional coordinates):
Ac  0.9196  0.2044  0.8391  1 Si 3.10
Ac  0.0804  0.7956  0.1609  1 Si 3.10
Ac  0.6729  0.2774  0.3458  2 Si 3.15, 2 Pb 3.50
Ac  0.3271  0.7226  0.6542  2 Si 3.15, 2 Pb 3.50
Si  0.0000  0.0000  0.0000  6 Ac 3.10-3.15
Pb  0.6398  0.6200  0.2797  1 Pb 3.27, 7 Ac 3.50-3.65
Pb  0.3602  0.3800  0.7203  1 Pb 3.27, 7 Ac 3.50-3.65

Summary:
- energy relative to the elements, uncorrected (eV per formula unit) = -3.51
- space-group type = C2/m (12)
- size of the total moment (μB/cell) = 0.8